A plane-wave DFT calculation with PBE was carried out for crystalline BiH2O3 at its relaxed geometry.

Calculated total energy: -0.3719 Ry/atom
Symmetry: Pmc2_1
V: 70.1 Å³/f.u.

```
BiH2O3
1.0
3.2972 0.0000 0.0000
0.0000 7.7418 0.0000
0.0000 0.0000 5.4921
Bi H O
2 4 6
Cartesian
0.0000 1.2738 0.0000
0.0000 6.4680 2.7460
0.0000 2.7192 3.3210
0.0000 5.0226 0.5749
1.6486 3.3384 1.1587
1.6486 4.4033 3.9048
0.0000 3.0243 4.2526
0.0000 4.7174 1.5066
1.6486 0.4058 4.2384
1.6486 2.3474 1.2308
1.6486 5.3944 3.9768
1.6486 7.3360 1.4924
```